Below is an optimized crystal structure of La4AgSeBr2, with properties calculated at the PBE level.

a b c (Å): 4.374 7.531 7.642
angles (deg): 70.48 90.00 90.00
Element x y z (fractional)
La  0.000  0.743  0.747
La  0.000  0.257  0.253
La  0.500  0.737  0.264
La  0.500  0.263  0.736
Ag  0.500  0.500  0.000
Se  0.000  0.500  0.500
Br  0.000  0.000  0.000
Br  0.500  0.000  0.500

Raw formation energy = -1.1823 eV per atom
E = -4.86 eV/atom
Space-group type = No. 10
Magnetization = 0.000 μB per atom



Below is an optimized crystal structure of CsReSi2, with properties calculated at the PBE level.

a b c (Å): 6.601 6.601 7.887
angles (deg): 65.26 65.26 90.00
Element x y z (fractional)
Cs  0.500  0.500  0.000
Cs  0.250  0.750  0.500
Re  0.000  0.000  0.000
Re  0.750  0.250  0.500
Si  0.875  0.125  0.250
Si  0.875  0.625  0.250
Si  0.375  0.125  0.750
Si  0.875  0.125  0.750

Raw formation energy = 0.2563 eV per atom
E = -5.78 eV/atom
Space-group type = No. 141
Magnetization = 0.000 μB per atom



Below is an optimized crystal structure of Li6MgCu2, with properties calculated at the PBE level.

a b c (Å): 8.237 7.514 7.514
angles (deg): 64.73 56.76 56.76
Element x y z (fractional)
Li  0.292  0.198  0.802
Li  0.708  0.802  0.198
Li  0.708  0.198  0.802
Li  0.292  0.802  0.198
Li  0.756  0.457  0.031
Li  0.244  0.543  0.969
Li  0.756  0.031  0.457
Li  0.244  0.969  0.543
Li  0.977  0.317  0.317
Li  0.023  0.683  0.683
Li  0.390  0.317  0.317
Li  0.610  0.683  0.683
Mg  0.500  0.500  0.500
Mg  0.000  0.000  0.000
Cu  0.377  0.123  0.123
Cu  0.623  0.877  0.877
Cu  0.000  0.349  0.651
Cu  0.000  0.651  0.349

E = -2.35 eV/atom
Space-group type = No. 71
Calculated formation energy = 0.02 eV/atom
Magnetization = 0.000 μB per atom



Below is an optimized crystal structure of Y2Al2Cl, with properties calculated at the PBE level.

a b c (Å): 8.473 8.473 3.577
angles (deg): 90.00 90.00 90.00
Element x y z (fractional)
Y  0.189  0.689  0.500
Y  0.689  0.811  0.500
Y  0.811  0.311  0.500
Y  0.311  0.189  0.500
Al  0.395  0.895  0.000
Al  0.895  0.605  0.000
Al  0.605  0.105  0.000
Al  0.105  0.395  0.000
Cl  0.000  0.000  0.000
Cl  0.500  0.500  0.000

Raw formation energy = -0.3681 eV per atom
E = -4.82 eV/atom
Space-group type = No. 127
Magnetization = 0.000 μB per atom



Below is an optimized crystal structure of ReTeO2, with properties calculated at the PBE level.

a b c (Å): 6.053 6.053 6.056
angles (deg): 60.02 60.02 90.00
Element x y z (fractional)
Re  0.000  0.000  0.000
Re  0.750  0.250  0.500
Te  0.500  0.500  0.000
Te  0.250  0.750  0.500
O  0.876  0.125  0.250
O  0.874  0.625  0.250
O  0.375  0.124  0.750
O  0.875  0.126  0.750

Raw formation energy = -0.4138 eV per atom
E = -6.79 eV/atom
Space-group type = No. 227
Magnetization = 0.000 μB per atom



Below is an optimized crystal structure of LaPrAl6, with properties calculated at the PBE level.

a b c (Å): 6.594 6.594 4.658
angles (deg): 90.00 90.00 120.00
Element x y z (fractional)
La  0.667  0.333  0.500
Pr  0.333  0.667  0.000
Al  0.140  0.279  0.500
Al  0.721  0.860  0.500
Al  0.140  0.860  0.500
Al  0.861  0.722  0.000
Al  0.278  0.139  0.000
Al  0.861  0.139  0.000

E = -4.47 eV/atom
Space-group type = No. 187
Calculated formation energy = -0.45 eV/atom
Magnetization = 0.000 μB per atom



Below is an optimized crystal structure of Dy2PaAgS6, with properties calculated at the PBE level.

a b c (Å): 6.679 6.326 6.326
angles (deg): 90.00 90.00 90.00
Element x y z (fractional)
Dy  0.987  0.500  0.000
Dy  0.987  0.000  0.500
Pa  0.592  0.500  0.500
Ag  0.508  0.000  0.000
S  0.757  0.243  0.243
S  0.757  0.243  0.757
S  0.192  0.500  0.500
S  0.151  0.000  0.000
S  0.757  0.757  0.757
S  0.757  0.757  0.243

Raw formation energy = -1.2094 eV per atom
E = -5.84 eV/atom
Space-group type = No. 99
Magnetization = 0.000 μB per atom



Below is an optimized crystal structure of NbNiSn3, with properties calculated at the PBE level.

a b c (Å): 4.917 4.917 4.917
angles (deg): 90.00 90.00 90.00
Site moments in Bohr magnetons follow the coordinates.
Element x y z (fractional)
Ni  0.000  0.000  0.000  0.01
Nb  0.500  0.500  0.500  2.25
Sn  0.000  0.500  0.000  0.00
Sn  0.000  0.000  0.500  0.01
Sn  0.500  0.000  0.000  0.01

E = -4.96 eV/atom
Space-group type = No. 221
Calculated formation energy = 0.61 eV/atom
Magnetization = 0.583 μB per atom



Below is an optimized crystal structure of CuRhBr2, with properties calculated at the PBE level.

a b c (Å): 3.776 3.776 7.464
angles (deg): 90.00 90.00 125.24
Site moments in Bohr magnetons follow the coordinates.
Element x y z (fractional)
Br  0.000  0.000  0.005  0.02
Br  0.000  0.000  0.495  0.02
Cu  0.500  0.500  0.250  0.01
Rh  0.500  0.500  0.750  0.60

Raw formation energy = 0.3272 eV per atom
E = -3.37 eV/atom
Space-group type = No. 65
Magnetization = 0.178 μB per atom



Below is an optimized crystal structure of PrGa7Pd5, with properties calculated at the PBE level.

a b c (Å): 5.520 6.927 6.927
angles (deg): 83.74 66.52 66.52
Element x y z (fractional)
Pr  0.006  0.994  0.994
Ga  0.640  0.360  0.360
Ga  0.351  0.649  0.649
Ga  0.985  0.361  0.668
Ga  0.985  0.668  0.361
Ga  0.262  0.238  0.238
Ga  0.513  0.790  0.183
Ga  0.513  0.183  0.790
Pd  0.502  0.016  0.477
Pd  0.005  0.016  0.477
Pd  0.502  0.477  0.016
Pd  0.005  0.477  0.016
Pd  0.731  0.769  0.769

E = -4.59 eV/atom
Space-group type = No. 44
Calculated formation energy = -0.60 eV/atom
Magnetization = 0.000 μB per atom



Below is an optimized crystal structure of TbSmEr3Th, with properties calculated at the PBE level.

a b c (Å): 3.560 10.633 10.638
angles (deg): 109.40 90.00 90.00
Element x y z (fractional)
Tb  0.250  0.627  0.126
Tb  0.750  0.373  0.874
Sm  0.250  0.122  0.293
Sm  0.750  0.878  0.707
Er  0.750  0.873  0.041
Er  0.250  0.127  0.959
Er  0.250  0.625  0.457
Er  0.750  0.375  0.543
Er  0.750  0.377  0.208
Er  0.250  0.623  0.792
Th  0.250  0.126  0.623
Th  0.750  0.874  0.377

E = -5.05 eV/atom
Space-group type = No. 11
Calculated formation energy = 0.03 eV/atom
Magnetization = 0.000 μB per atom



Below is an optimized crystal structure of K2Ti2Rh, with properties calculated at the PBE level.

a b c (Å): 10.171 10.171 2.848
angles (deg): 90.00 90.00 90.00
Site moments in Bohr magnetons follow the coordinates.
Element x y z (fractional)
K  0.288  0.788  0.000  0.02
K  0.788  0.712  0.000  0.02
K  0.712  0.212  0.000  0.02
K  0.212  0.288  0.000  0.02
Rh  0.000  0.000  0.000  0.00
Rh  0.500  0.500  0.000  0.00
Ti  0.076  0.576  0.500  0.99
Ti  0.576  0.924  0.500  0.98
Ti  0.924  0.424  0.500  0.99
Ti  0.424  0.076  0.500  0.98

E = -3.60 eV/atom
Space-group type = No. 127
Calculated formation energy = 1.47 eV/atom
Magnetization = 0.490 μB per atom